Entry 1:
Mn3Fe: single point on PBEsol structure, meta-GGA SCAN.

Output
Electronic total energy = -18.037 eV per atom
V = 40.8 Å³/cell
Space-group type = C2/m, No. 12
M_tot = 0.375 Bohr magnetons per cell

Cell: 2.431 4.215 4.219 Å, 99.43 90.00 106.76°
Element x y z (fractional)
Fe (0.000, 0.000, 0.000)
Mn (0.252, 0.504, 0.753)
Mn (0.748, 0.496, 0.247)
Mn (0.500, 0.000, 0.500)

---

Entry 2:
MnFe2: single point on PBEsol structure, meta-GGA SCAN.

Output
Electronic total energy = -17.826 eV per atom
V = 59.5 Å³/cell
Space-group type = Cmcm, No. 63
M_tot = 0.011 Bohr magnetons per cell

Cell: 2.438 3.856 6.443 Å, 90.00 100.91 90.00°
Element x y z (fractional)
Fe (0.778, 0.750, 0.556)
Fe (0.222, 0.250, 0.444)
Fe (0.444, 0.750, 0.887)
Fe (0.556, 0.250, 0.113)
Mn (0.111, 0.750, 0.223)
Mn (0.889, 0.250, 0.777)

---

Entry 3:
Mn2Fe: single point on PBEsol structure, meta-GGA SCAN.

Output
Electronic total energy = -17.951 eV per atom
V = 30.5 Å³/cell
Space-group type = P6/mmm, No. 191
M_tot = 0.565 Bohr magnetons per cell

Cell: 2.411 3.823 3.823 Å, 120.00 90.00 90.00°
Element x y z (fractional)
Mn (0.000, 0.333, 0.667)
Mn (0.000, 0.667, 0.333)
Fe (0.500, 0.000, 0.000)

---

Entry 4:
Mn3Fe: single point on PBEsol structure, meta-GGA SCAN.

Output
Electronic total energy = -18.030 eV per atom
V = 40.5 Å³/cell
Space-group type = Pmm2, No. 25
M_tot = 0.018 Bohr magnetons per cell

Cell: 2.443 3.913 4.238 Å, 90.00 90.00 90.00°
Element x y z (fractional)
Fe (0.000, 0.000, 0.998)
Mn (0.500, 0.000, 0.502)
Mn (0.000, 0.500, 0.333)
Mn (0.500, 0.500, 0.834)